Entry from Alexandria via LeMat-Bulk: Al2BiRh2 after structural relaxation (PBE).

Summary:
Total moment, μB per cell: 0.00
ΔE_f, eV per atom: -0.52

a b c (Å): 7.544 7.544 2.981
angles (deg): 90.00 90.00 90.00
Space group P4/mbm (No. 127)
Inequivalent atoms, fractional coordinates:
Al 0.138 0.362 0.000 (multiplicity 4)
Bi 0.000 0.000 0.500 (multiplicity 2)
Rh 0.148 0.648 0.500 (multiplicity 4)